No. 1
La2SmCr2N6: relaxed, PBE.

Values from the calculation:
SG	R-3m, No. 166
energy	-8.486	eV/atom
uncorrected formation energy	-871	meV per atom
crystal system	trigonal

a = 5.6348 Å, b = 5.6348 Å, c = 7.0149 Å
α = 66.32°, β = 66.32°, γ = 60.00°
Fractional coordinates of all 11 atoms:
La 0.7935 0.7935 0.6195
La 0.2065 0.2065 0.3805
Sm 0.0000 0.0000 0.0000
Cr 0.4034 0.4034 0.7898
Cr 0.5966 0.5966 0.2102
N 0.7349 0.7349 0.2920
N 0.2381 0.7349 0.2920
N 0.7349 0.2381 0.2920
N 0.2651 0.7619 0.7080
N 0.7619 0.2651 0.7080
N 0.2651 0.2651 0.7080

No. 2
RbBPtI2: relaxed, PBE.

Values from the calculation:
SG	P4/mmm, No. 123
energy	-3.559	eV/atom
uncorrected formation energy	-202	meV per atom
crystal system	tetragonal

a = 5.9684 Å, b = 4.1183 Å, c = 5.9684 Å
α = 90.00°, β = 90.00°, γ = 90.00°
Fractional coordinates of all 5 atoms:
I 0.0000 0.0000 0.5000
I 0.5000 0.0000 0.0000
B 0.0000 0.5000 0.0000
Rb 0.5000 0.5000 0.5000
Pt 0.0000 0.0000 0.0000

No. 3
Na2TbInPb2: relaxed, PBE.

Values from the calculation:
SG	Pmc2_1, No. 26
energy	-3.172	eV/atom
crystal system	orthorhombic

a = 4.7324 Å, b = 7.6280 Å, c = 9.6441 Å
α = 90.00°, β = 90.00°, γ = 90.00°
Fractional coordinates of all 12 atoms:
Na 0.5000 0.0540 0.0560
Na 0.0000 0.3491 0.1709
Na 0.5000 0.5540 0.9440
Na 0.0000 0.8491 0.8291
Tb 0.0000 0.9700 0.4555
Tb 0.0000 0.4700 0.5445
In 0.5000 0.1485 0.6767
In 0.5000 0.6485 0.3233
Pb 0.0000 0.2799 0.8400
Pb 0.5000 0.2441 0.3711
Pb 0.0000 0.7799 0.1600
Pb 0.5000 0.7441 0.6289

No. 4
Rb2AsAuO4: relaxed, PBE.

Values from the calculation:
SG	I-4, No. 82
energy	-4.878	eV/atom
uncorrected formation energy	-1166	meV per atom
crystal system	tetragonal

a = 5.8791 Å, b = 5.8791 Å, c = 5.8791 Å
α = 102.09°, β = 113.28°, γ = 113.28°
Fractional coordinates of all 8 atoms:
Rb 0.5000 0.7500 0.2500
Rb 0.0000 0.0000 0.0000
As 0.0000 0.5000 0.5000
Au 0.5000 0.2500 0.7500
O 0.6908 0.4544 0.5041
O 0.0498 0.2364 0.5456
O 0.9502 0.4959 0.1867
O 0.3092 0.8133 0.7636

No. 5
SrTeMoI2: relaxed, PBE.

Values from the calculation:
SG	P4/mmm, No. 123
energy	-4.032	eV/atom
uncorrected formation energy	-281	meV per atom
crystal system	tetragonal

a = 5.5972 Å, b = 5.5972 Å, c = 5.6866 Å
α = 90.00°, β = 90.00°, γ = 90.00°
Site moments in Bohr magnetons follow the coordinates.
Fractional coordinates of all 5 atoms:
I 0.0000 0.5000 0.0000  0.03
I 0.5000 0.0000 0.0000  0.03
Sr 0.5000 0.5000 0.5000  0.02
Mo 0.0000 0.0000 0.0000  2.69
Te 0.0000 0.0000 0.5000  0.03

No. 6
KCa2MnCl8: relaxed, PBE.

Values from the calculation:
SG	P2/m, No. 10
energy	-4.222	eV/atom
uncorrected formation energy	-1801	meV per atom
crystal system	monoclinic

a = 6.6194 Å, b = 6.2555 Å, c = 8.3621 Å
α = 89.99°, β = 90.00°, γ = 87.30°
Site moments in Bohr magnetons follow the coordinates.
Fractional coordinates of all 12 atoms:
K 0.0000 0.0000 0.5000  0.00
Ca 0.5000 0.5000 0.7604  0.00
Ca 0.5000 0.5000 0.2396  0.00
Mn 0.0000 0.0000 0.0000  3.66
Cl 0.1505 0.7867 0.1930  0.00
Cl 0.6712 0.7338 0.0000  0.04
Cl 0.8494 0.2132 0.1930  0.00
Cl 0.8495 0.2133 0.8070  0.00
Cl 0.3288 0.2662 0.0000  0.04
Cl 0.1506 0.7868 0.8070  0.00
Cl 0.6520 0.7045 0.5000  0.00
Cl 0.3480 0.2955 0.5000  0.00

No. 7
SeSF2: relaxed, PBE.

Values from the calculation:
SG	R-3m, No. 166
energy	-3.282	eV/atom
uncorrected formation energy	-444	meV per atom
crystal system	trigonal

a = 10.0151 Å, b = 10.0151 Å, c = 10.0151 Å
α = 16.30°, β = 16.30°, γ = 16.30°
Site moments in Bohr magnetons follow the coordinates.
Fractional coordinates of all 4 atoms:
S 0.5000 0.5000 0.5000  0.31
Se 0.0000 0.0000 0.0000  0.00
F 0.9377 0.9377 0.9377  0.00
F 0.0623 0.0623 0.0623  0.00

No. 8
ZnAsPb2O6: relaxed, PBE.

Values from the calculation:
SG	R-3m, No. 166
energy	-5.340	eV/atom
uncorrected formation energy	-1031	meV per atom
crystal system	trigonal

a = 5.6021 Å, b = 5.6021 Å, c = 10.4227 Å
α = 74.41°, β = 74.41°, γ = 60.00°
Site moments in Bohr magnetons follow the coordinates.
Fractional coordinates of all 20 atoms:
Zn 0.0000 0.0000 0.0000  0.00
Zn 0.5000 0.5000 0.5000  0.06
As 0.5908 0.5908 0.2275  -0.01
As 0.4092 0.4092 0.7725  -0.01
Pb 0.8878 0.8878 0.3367  0.01
Pb 0.1122 0.1122 0.6633  0.01
Pb 0.7214 0.7214 0.8358  0.04
Pb 0.2786 0.2786 0.1642  0.04
O 0.8541 0.3987 0.3486  0.16
O 0.3987 0.8541 0.3486  0.16
O 0.3987 0.3987 0.3486  0.16
O 0.1459 0.6013 0.6514  0.16
O 0.6013 0.1459 0.6514  0.16
O 0.6013 0.6013 0.6514  0.16
O 0.7049 0.2143 0.8665  0.08
O 0.2143 0.7049 0.8665  0.08
O 0.2143 0.2143 0.8665  0.08
O 0.2951 0.7857 0.1335  0.08
O 0.7857 0.2951 0.1335  0.08
O 0.7857 0.7857 0.1335  0.08